A plane-wave DFT calculation with PBE was carried out for LiHgPd2 after structural relaxation.

Cell lengths 3.155, 3.155, 6.394 Å; angles 90.00, 90.00, 90.00 degrees
Space group P4/mmm (No. 123)
Symmetry-distinct sites (fractional):
Li1 0.000 0.000 0.000
Hg1 0.000 0.000 0.500
Pd1 0.500 0.500 0.222

**Uncorrected energy**: -0.2540 Ry per atom


A plane-wave DFT calculation with PBE was carried out for ZrCoSnHg after structural relaxation.

Cell lengths 6.740, 6.740, 6.740 Å; angles 90.00, 90.00, 90.00 degrees
Space group F-43m (No. 216)
Symmetry-distinct sites (fractional):
Zr1 0.000 0.000 0.000
Co1 0.000 0.000 0.500
Sn1 0.250 0.250 0.250
Hg1 0.250 0.250 0.750

**Uncorrected energy**: -0.3600 Ry per atom
**Spin magnetization**: 4.16 μB/cell


A plane-wave DFT calculation with PBE was carried out for CuMoAsPt after structural relaxation.

Cell lengths 6.226, 6.226, 6.226 Å; angles 90.00, 90.00, 90.00 degrees
Space group F-43m (No. 216)
Symmetry-distinct sites (fractional):
Cu1 0.000 0.000 0.000
Mo1 0.000 0.000 0.500
As1 0.250 0.250 0.750
Pt1 0.250 0.250 0.250

**Uncorrected energy**: -0.4601 Ry per atom
**Spin magnetization**: 0.11 μB/cell


A plane-wave DFT calculation with PBE was carried out for FeCl3 after structural relaxation.

Cell lengths 8.6362, 8.6362, 3.1608 Å; angles 90.00, 90.00, 120.00 degrees
Space group P6_3/mmc (No. 194)
Symmetry-distinct sites (fractional):
Fe1 0.3333 0.6667 0.2500
Cl1 0.2118 0.4235 0.7500

**Uncorrected energy**: -0.2975 Ry per atom
**Spin magnetization**: 10.00 μB/cell


A plane-wave DFT calculation with PBE was carried out for TmLu2Cu4Si2Ge2 after structural relaxation.

Cell lengths 4.117, 6.555, 13.613 Å; angles 90.00, 90.00, 90.00 degrees
Space group Immm (No. 71)
Symmetry-distinct sites (fractional):
Tm1 0.000 0.000 0.000
Lu1 0.000 0.500 0.128
Cu1 0.000 0.308 0.335
Si1 0.000 0.184 0.500
Ge1 0.000 0.000 0.217

**Uncorrected energy**: -0.3692 Ry per atom
**Spin magnetization**: 0.00 μB/cell


A plane-wave DFT calculation with PBE was carried out for MgGaPd2 after structural relaxation.

Cell lengths 6.116, 6.140, 3.284 Å; angles 90.00, 90.00, 90.00 degrees
Space group Cmmm (No. 65)
Symmetry-distinct sites (fractional):
Mg1 0.000 0.000 0.000
Ga1 0.000 0.500 0.000
Pd1 0.250 0.250 0.500

**Uncorrected energy**: -0.3268 Ry per atom


A plane-wave DFT calculation with PBE was carried out for MgAgSeO after structural relaxation.

Cell lengths 3.599, 13.083, 5.670 Å; angles 90.00, 90.00, 90.00 degrees
Space group Cmcm (No. 63)
Symmetry-distinct sites (fractional):
Mg1 0.000 0.098 0.250
Ag1 0.000 0.414 0.250
Se1 0.000 0.249 0.750
O1 0.000 0.000 0.000

**Uncorrected energy**: -0.2917 Ry per atom


A plane-wave DFT calculation with PBE was carried out for DyYLu after structural relaxation.

Cell lengths 7.583, 7.583, 7.583 Å; angles 90.00, 90.00, 90.00 degrees
Space group F-43m (No. 216)
Symmetry-distinct sites (fractional):
Dy1 0.000 0.000 0.000
Y1 0.000 0.000 0.500
Lu1 0.250 0.250 0.250

**Calculated formation energy**: 69.4 kJ/mol of atoms
**Uncorrected energy**: -0.3291 Ry per atom
**Spin magnetization**: 0.04 μB/cell